Record 1
This record from Alexandria describes crystalline CaPm8Tl6 at its relaxed geometry. The functional is PBE.

Lattice parameters (Å, degrees): 8.5024 8.5024 8.5024 66.97 66.97 66.97
Fractional positions:
Ca: 0.0000 0.0000 0.0000
Pm: 0.1081 0.4414 0.7772
Pm: 0.2228 0.8919 0.5586
Pm: 0.3349 0.3349 0.3349
Pm: 0.4414 0.7772 0.1081
Pm: 0.5586 0.2228 0.8919
Pm: 0.6651 0.6651 0.6651
Pm: 0.7772 0.1081 0.4414
Pm: 0.8919 0.5586 0.2228
Tl: 0.0607 0.7281 0.3933
Tl: 0.2719 0.6067 0.9393
Tl: 0.3933 0.0607 0.7281
Tl: 0.6067 0.9393 0.2719
Tl: 0.7281 0.3933 0.0607
Tl: 0.9393 0.2719 0.6067

Results
Its crystal system is trigonal. The calculation puts the total magnetization at 0.00 Bohr magnetons per cell. As for the space group: R-3, No. 148. For the total energy, the calculation gives -3.790 eV per atom.


Record 2
This record from Alexandria describes crystalline CaPmTl2 at its relaxed geometry. The functional is PBE.

Lattice parameters (Å, degrees): 3.8645 3.8645 7.8260 90.00 90.00 90.00
Fractional positions:
Ca: 0.0000 0.0000 0.0000
Pm: 0.0000 0.0000 0.5000
Tl: 0.5000 0.5000 0.2479
Tl: 0.5000 0.5000 0.7521

Results
Its crystal system is tetragonal. The calculation puts the total magnetization at 0.00 Bohr magnetons per cell. As for the space group: P4/mmm, No. 123. For the total energy, the calculation gives -3.288 eV per atom.


Record 3
This record from Alexandria describes crystalline Ca4PmTl2 at its relaxed geometry. The functional is PBE.

Lattice parameters (Å, degrees): 10.8313 10.8313 10.8313 29.16 29.16 29.16
Fractional positions:
Ca: 0.1002 0.1002 0.1002
Ca: 0.2961 0.2961 0.2961
Ca: 0.7039 0.7039 0.7039
Ca: 0.8998 0.8998 0.8998
Pm: 0.5000 0.5000 0.5000
Tl: 0.4008 0.4008 0.4008
Tl: 0.5992 0.5992 0.5992

Results
Its crystal system is trigonal. The calculation puts the total magnetization at 0.01 Bohr magnetons per cell. As for the space group: R-3m, No. 166. For the total energy, the calculation gives -2.554 eV per atom.


Record 4
This record from Alexandria describes crystalline Ca2PmTl at its relaxed geometry. The functional is PBE.

Lattice parameters (Å, degrees): 4.9216 4.9216 5.2908 90.00 90.00 90.00
Fractional positions:
Ca: 0.0000 0.5000 0.0000
Ca: 0.5000 0.0000 0.0000
Pm: 0.0000 0.0000 0.5000
Tl: 0.5000 0.5000 0.5000

Results
Its crystal system is tetragonal. The calculation puts the total magnetization at 0.00 Bohr magnetons per cell. For the energy above the most stable polymorph in this dataset, the calculation gives 0 meV/atom. As for the space group: P4/mmm, No. 123. For the total energy, the calculation gives -2.973 eV per atom.


Record 5
This record from Alexandria describes crystalline Ca3PmTl2 at its relaxed geometry. The functional is PBE.

Lattice parameters (Å, degrees): 5.3206 9.8899 7.2617 90.00 90.00 90.00
Fractional positions:
Ca: 0.0000 0.0558 0.0000
Ca: 0.0000 0.3134 0.3608
Ca: 0.0000 0.6866 0.8608
Ca: 0.0000 0.9442 0.5000
Ca: 0.5000 0.1794 0.7016
Ca: 0.5000 0.8206 0.2016
Pm: 0.5000 0.4492 0.0592
Pm: 0.5000 0.5508 0.5592
Tl: 0.0000 0.3657 0.8096
Tl: 0.0000 0.6343 0.3096
Tl: 0.5000 0.1452 0.2499
Tl: 0.5000 0.8548 0.7499

Results
Its crystal system is orthorhombic. The calculation puts the total magnetization at 0.00 Bohr magnetons per cell. As for the space group: Pmc2_1, No. 26. For the total energy, the calculation gives -2.917 eV per atom.


Record 6
This record from Alexandria describes crystalline Ca2PmTl at its relaxed geometry. The functional is PBE.

Lattice parameters (Å, degrees): 5.6935 5.6935 5.6935 60.00 60.00 60.00
Fractional positions:
Ca: 0.2500 0.2500 0.2500
Ca: 0.7500 0.7500 0.7500
Pm: 0.0000 0.0000 0.0000
Tl: 0.5000 0.5000 0.5000

Results
Its crystal system is cubic. The calculation puts the total magnetization at 1.14 Bohr magnetons per cell. For the energy above the most stable polymorph in this dataset, the calculation gives 193 meV/atom. As for the space group: Fm-3m, No. 225. For the total energy, the calculation gives -2.781 eV per atom.


Record 7
This record from Alexandria describes crystalline CaPm6Tl5 at its relaxed geometry. The functional is PBE.

Lattice parameters (Å, degrees): 9.6517 9.6517 9.6517 146.79 132.42 59.25
Fractional positions:
Ca: 0.0000 0.0000 0.0000
Pm: 0.0820 0.8252 0.2568
Pm: 0.2714 0.5000 0.7714
Pm: 0.4316 0.1748 0.2568
Pm: 0.5684 0.8252 0.7432
Pm: 0.7286 0.5000 0.2286
Pm: 0.9180 0.1748 0.7432
Tl: 0.1481 0.6481 0.5000
Tl: 0.3315 0.3315 0.0000
Tl: 0.5000 0.0000 0.5000
Tl: 0.6685 0.6685 0.0000
Tl: 0.8519 0.3519 0.5000

Results
Its crystal system is orthorhombic. The calculation puts the total magnetization at 0.00 Bohr magnetons per cell. As for the space group: Immm, No. 71. For the total energy, the calculation gives -3.835 eV per atom.


Record 8
This record from Alexandria describes crystalline Ca3Pm2Tl4 at its relaxed geometry. The functional is PBE.

Lattice parameters (Å, degrees): 10.2595 10.2595 8.3000 90.00 90.00 139.79
Fractional positions:
Ca: 0.0000 0.0000 0.0000
Ca: 0.0131 0.4869 0.2500
Ca: 0.4869 0.0131 0.7500
Ca: 0.5000 0.5000 0.5000
Ca: 0.5131 0.9869 0.2500
Ca: 0.9869 0.5131 0.7500
Pm: 0.0901 0.9099 0.4088
Pm: 0.4099 0.5901 0.9088
Pm: 0.5901 0.4099 0.0912
Pm: 0.9099 0.0901 0.5912
Tl: 0.1610 0.8390 0.0379
Tl: 0.1808 0.3192 0.2500
Tl: 0.3192 0.1808 0.7500
Tl: 0.3390 0.6610 0.5379
Tl: 0.6610 0.3390 0.4621
Tl: 0.6808 0.8192 0.2500
Tl: 0.8192 0.6808 0.7500
Tl: 0.8390 0.1610 0.9621

Results
Its crystal system is orthorhombic. The calculation puts the total magnetization at 0.00 Bohr magnetons per cell. For the energy above the most stable polymorph in this dataset, the calculation gives 82 meV/atom. As for the space group: Cmce, No. 64. For the total energy, the calculation gives -3.033 eV per atom.